Model 1:
Entry from Alexandria: a crystal of CaSnF2 relaxed with PBEsol (SCAN).

Values from the calculation:
Density = 3.79 g/cm³
SG = R-3m (166)
Volume = 21.581 A^3/atom

Structure (POSCAR):
```
CaSnF2
1.0
3.443 0.000 0.000
1.721 2.982 0.000
1.721 0.994 8.410
Ca Sn F
1 1 2
Direct
0.500 0.500 0.500
0.000 0.000 0.000
0.873 0.873 0.380
0.127 0.127 0.620
```

=====

Model 2:
Entry from Alexandria: a crystal of CaSnF2 relaxed with PBEsol (SCAN).

Values from the calculation:
Density = 3.83 g/cm³
SG = R-3m (166)
Volume = 21.336 A^3/atom

Structure (POSCAR):
```
CaSnF2
1.0
3.477 0.000 0.000
1.739 3.012 0.000
1.739 1.004 8.150
Ca Sn F
1 1 2
Direct
0.000 0.000 0.000
0.500 0.500 0.500
0.914 0.914 0.258
0.086 0.086 0.742
```

=====

Stability summary: most stable model 1, least stable model 2.

=====

Model 1:
Entry from Alexandria: a crystal of SrCaF2 relaxed with PBEsol (SCAN).

Values from the calculation:
Density = 3.05 g/cm³
SG = R-3m (166)
Volume = 22.535 A^3/atom

Structure (POSCAR):
```
SrCaF2
1.0
-3.021 -2.115 1.798
-1.073 -3.684 -1.455
2.748 -4.614 3.872
Sr Ca F
1 1 2
Direct
0.500 0.500 0.500
0.000 0.000 0.000
0.878 0.878 0.365
0.122 0.122 0.635
```

=====

Model 2:
Entry from Alexandria: a crystal of SrCaF2 relaxed with PBEsol (SCAN).

Values from the calculation:
Density = 3.01 g/cm³
SG = I-42d (122)
Volume = 22.870 A^3/atom

Structure (POSCAR):
```
SrCaF2
1.0
-2.997 1.597 4.549
4.265 -1.620 3.379
1.615 5.213 -4.308
Sr Ca F
2 2 4
Direct
0.250 0.750 0.500
0.000 0.000 0.000
0.750 0.250 0.500
0.500 0.500 0.000
0.403 0.875 0.250
0.847 0.375 0.250
0.125 0.153 0.750
0.625 0.597 0.750
```

=====

Stability summary: most stable model 1, least stable model 2.

=====

Model 1:
Entry from Alexandria: a crystal of KCaFe2 relaxed with PBEsol (SCAN).

Values from the calculation:
Density = 3.34 g/cm³
SG = P4mm (99)
Volume = 23.759 A^3/atom

Structure (POSCAR):
```
KCaFe2
1.0
-0.462 2.244 -2.263
-2.764 0.855 1.413
4.513 6.106 5.134
Ca Fe K
1 2 1
Direct
0.500 0.500 0.847
0.000 0.000 0.071
0.500 0.500 0.150
0.000 0.000 0.432
```

=====

Model 2:
Entry from Alexandria: a crystal of KCaFe2 relaxed with PBEsol (SCAN).

Values from the calculation:
Density = 3.90 g/cm³
SG = P4/mmm (123)
Volume = 20.315 A^3/atom

Structure (POSCAR):
```
KCaFe2
1.0
-1.702 -3.983 -1.866
2.357 0.571 -3.369
3.071 -2.148 1.784
Ca Fe K
1 2 1
Direct
0.500 0.000 0.000
0.000 0.000 0.500
0.000 0.500 0.000
0.500 0.500 0.500
```

=====

Stability summary: most stable model 1, least stable model 2.

=====

Model 1:
Entry from Alexandria: a crystal of Ca2MnFe relaxed with PBEsol (SCAN).

Values from the calculation:
Density = 3.64 g/cm³
SG = I4/mmm (139)
Volume = 21.790 A^3/atom

Structure (POSCAR):
```
Ca2MnFe
1.0
-2.582 2.045 3.402
3.167 -3.791 1.387
3.967 1.195 2.293
Ca Mn Fe
2 1 1
Direct
0.250 0.500 0.250
0.750 0.500 0.750
0.000 0.000 0.000
0.500 0.000 0.500
```

=====

Model 2:
Entry from Alexandria: a crystal of Ca2MnFe relaxed with PBEsol (SCAN).

Values from the calculation:
Density = 3.68 g/cm³
SG = P4mm (99)
Volume = 21.528 A^3/atom

Structure (POSCAR):
```
Ca2MnFe
1.0
3.240 0.069 0.000
-0.069 3.240 0.000
0.000 0.000 8.198
Ca Mn Fe
2 1 1
Direct
0.000 0.000 0.074
0.500 0.500 0.674
0.500 0.500 0.327
0.000 0.000 0.425
```

=====

Model 3:
Entry from Alexandria: a crystal of Ca2MnFe relaxed with PBEsol (SCAN).

Values from the calculation:
Density = 3.80 g/cm³
SG = Cm (8)
Volume = 20.854 A^3/atom

Structure (POSCAR):
```
Ca2MnFe
1.0
3.125 0.000 0.000
0.000 5.222 -0.022
-1.562 -1.879 5.120
Ca Mn Fe
2 1 1
Direct
0.977 0.954 0.954
0.781 0.309 0.563
0.197 0.730 0.395
0.544 0.507 0.089
```

=====

Stability summary: most stable model 2, least stable model 1.